DFT (PBE) results for a relaxed PrCuP2Pd crystal.

Cell lengths 5.969, 5.969, 5.969 Å; angles 140.36, 140.36, 57.31 degrees
Sites, in units of the cell vectors:
Pr 0.000 0.000 0.000
Cu 0.750 0.250 0.500
P 0.382 0.382 0.000
P 0.618 0.618 0.000
Pd 0.250 0.750 0.500

total energy = -5.778 eV/atom
crystal system = tetragonal
formation enthalpy at 0 K = -801 meV/atom

---

DFT (PBE) results for a relaxed Pr2Cu3P4Pd crystal.

Cell lengths 4.166, 4.166, 9.731 Å; angles 90.00, 90.00, 90.00 degrees
Sites, in units of the cell vectors:
Pr 0.000 0.500 0.248
Pr 0.500 0.000 0.752
Cu 0.000 0.500 0.879
Cu 0.500 0.000 0.121
Cu 0.500 0.500 0.500
P 0.000 0.000 0.000
P 0.000 0.500 0.640
P 0.500 0.000 0.360
P 0.500 0.500 0.000
Pd 0.000 0.000 0.500

total energy = -5.600 eV/atom
crystal system = tetragonal
formation enthalpy at 0 K = -732 meV/atom

---

DFT (PBE) results for a relaxed Pr2CuP4Pd3 crystal.

Cell lengths 4.301, 4.301, 9.573 Å; angles 90.00, 90.00, 90.00 degrees
Sites, in units of the cell vectors:
Pr 0.000 0.500 0.247
Pr 0.500 0.000 0.753
Cu 0.000 0.000 0.500
P 0.000 0.000 0.000
P 0.000 0.500 0.629
P 0.500 0.000 0.371
P 0.500 0.500 0.000
Pd 0.000 0.500 0.884
Pd 0.500 0.000 0.116
Pd 0.500 0.500 0.500

total energy = -5.952 eV/atom
crystal system = tetragonal
formation enthalpy at 0 K = -865 meV/atom

---

DFT (PBE) results for a relaxed CuP2PdS crystal.

Cell lengths 4.448, 4.448, 4.533 Å; angles 90.00, 90.00, 90.00 degrees
Sites, in units of the cell vectors:
Cu 0.000 0.000 0.000
P 0.000 0.500 0.000
P 0.500 0.000 0.000
Pd 0.500 0.500 0.500
S 0.000 0.000 0.500

energy above the lowest structure with this stoichiometry = 0.0000 eV/atom
formation energy from raw total energies = 840 meV per atom
total energy = -4.007 eV/atom
crystal system = tetragonal

---

DFT (PBE) results for a relaxed Cu2PPdS4 crystal.

Cell lengths 6.527, 6.527, 6.527 Å; angles 133.12, 133.12, 68.46 degrees
Sites, in units of the cell vectors:
Cu 0.000 0.000 0.000
Cu 0.750 0.250 0.500
P 0.250 0.750 0.500
Pd 0.500 0.500 0.000
S 0.125 0.091 0.485
S 0.361 0.875 0.967
S 0.606 0.639 0.515
S 0.909 0.394 0.033

formation energy from raw total energies = -176 meV per atom
total energy = -4.589 eV/atom
crystal system = tetragonal

---

DFT (PBE) results for a relaxed Cu2PPdSe4 crystal.

Cell lengths 6.950, 6.950, 6.950 Å; angles 133.31, 133.31, 68.17 degrees
Sites, in units of the cell vectors:
Cu 0.000 0.000 0.000
Cu 0.750 0.250 0.500
P 0.250 0.750 0.500
Pd 0.500 0.500 0.000
Se 0.122 0.109 0.489
Se 0.367 0.878 0.987
Se 0.620 0.633 0.511
Se 0.891 0.380 0.013

formation energy from raw total energies = -94 meV per atom
total energy = -4.185 eV/atom
crystal system = tetragonal